1.
Below is a crystal of MoRh2 relaxed with PBEsol, with properties calculated at the SCAN level.

a b c (Å): 2.726 2.726 5.974
angles (deg): 103.19 103.19 90.00
Sites, in units of the cell vectors:
Rh 0.663 0.663 0.326
Rh 0.337 0.337 0.674
Mo 0.000 0.000 0.000

## Properties
Its space group is I4/mmm, No. 139. The calculation puts the calculated formation energy at -170 meV per atom. The total energy is -34.313 eV/atom.


2.
Below is a crystal of CrAgC3 relaxed with PBEsol, with properties calculated at the SCAN level.

a b c (Å): 3.803 3.803 3.803
angles (deg): 90.00 90.00 90.00
Sites, in units of the cell vectors:
C 0.500 0.000 0.000
C 0.000 0.500 0.000
C 0.000 0.000 0.500
Ag 0.500 0.500 0.500
Cr 0.000 0.000 0.000

## Properties
Its space group is Pm-3m, No. 221. The calculation puts the calculated formation energy at 1794 meV per atom. The total energy is -14.216 eV/atom. The calculation puts the energy above the most stable polymorph in this dataset at 0.0 meV/atom.


3.
Below is a crystal of SnSbCl2 relaxed with PBEsol, with properties calculated at the SCAN level.

a b c (Å): 5.093 5.093 5.093
angles (deg): 60.00 60.00 60.00
Sites, in units of the cell vectors:
Sn 0.000 0.000 0.000
Sb 0.500 0.500 0.500
Cl 0.750 0.750 0.750
Cl 0.250 0.250 0.250

## Properties
The value obtained for the uncorrected formation energy is 0.05 eV/atom. Its space group is Fm-3m, No. 225. The total energy is -22.236 eV/atom.


4.
Below is a crystal of BeAs2SeF relaxed with PBEsol, with properties calculated at the SCAN level.

a b c (Å): 4.350 4.384 4.384
angles (deg): 90.00 90.00 90.00
Sites, in units of the cell vectors:
As 0.000 0.500 0.000
As 0.000 0.000 0.500
Be 0.000 0.000 0.000
F 0.500 0.500 0.500
Se 0.500 0.000 0.000

## Properties
The value obtained for the uncorrected formation energy is 0.18 eV/atom. Its space group is P4/mmm, No. 123. The total energy is -13.493 eV/atom. The calculation puts the energy above the most stable polymorph in this dataset at 0.0 meV/atom.


5.
Below is a crystal of Li3Mg relaxed with PBEsol, with properties calculated at the SCAN level.

a b c (Å): 3.089 4.248 6.078
angles (deg): 90.00 90.00 90.00
Sites, in units of the cell vectors:
Li 0.000 0.000 0.249
Li 0.000 0.000 0.751
Li 0.500 0.500 0.500
Mg 0.500 0.500 0.000

## Properties
Its space group is Pmmm, No. 47. The calculation puts the calculated formation energy at -28 meV per atom. The total energy is -3.063 eV/atom.


6.
Below is a crystal of Ba5Al relaxed with PBEsol, with properties calculated at the SCAN level.

a b c (Å): 4.250 7.654 10.298
angles (deg): 68.73 78.09 73.88
Sites, in units of the cell vectors:
Al 0.500 0.500 0.500
Ba 0.500 0.000 0.000
Ba 0.841 0.547 0.771
Ba 0.159 0.453 0.229
Ba 0.130 0.113 0.627
Ba 0.870 0.887 0.373

## Properties
Its space group is C2/m, No. 12. The calculation puts the calculated formation energy at -12 meV per atom. The total energy is -34.262 eV/atom. The calculation puts the energy above the most stable polymorph in this dataset at 0.0 meV/atom.


7.
Below is a crystal of LaMgNi relaxed with PBEsol, with properties calculated at the SCAN level.

a b c (Å): 3.249 3.249 6.389
angles (deg): 104.73 104.73 90.00
Sites, in units of the cell vectors:
La 0.028 0.028 0.056
Mg 0.296 0.296 0.591
Ni 0.676 0.676 0.353

## Properties
Its space group is I4mm, No. 107. The calculation puts the calculated formation energy at -122 meV per atom. The total energy is -21.539 eV/atom.


8.
Below is a crystal of Li2Ni3BiO8 relaxed with PBEsol, with properties calculated at the SCAN level.

a b c (Å): 5.819 5.819 6.100
angles (deg): 61.51 61.51 60.00
Last column: magnetic moment on the atom in μB.
Sites, in units of the cell vectors:
Li 0.120 0.120 0.640  0.00
Li 0.880 0.880 0.360  0.00
Ni 0.500 0.500 0.000  0.91
Ni 0.500 0.000 0.000  0.91
Ni 0.000 0.500 0.000  0.91
O 0.274 0.274 0.177  -0.08
O 0.277 0.777 0.220  0.06
O 0.725 0.277 0.220  0.06
O 0.726 0.726 0.823  -0.08
O 0.275 0.723 0.780  0.06
O 0.777 0.725 0.220  0.06
O 0.723 0.223 0.780  0.06
O 0.223 0.275 0.780  0.06
Bi 0.500 0.500 0.500  0.00

## Properties
The value obtained for the uncorrected formation energy is -1.34 eV/atom. Its space group is R-3, No. 148. The total energy is -14.323 eV/atom. The calculation puts the energy above the most stable polymorph in this dataset at 0.0 meV/atom.


9.
Below is a crystal of Ba2BiSe relaxed with PBEsol, with properties calculated at the SCAN level.

a b c (Å): 5.838 5.838 5.838
angles (deg): 60.00 60.00 60.00
Sites, in units of the cell vectors:
Ba 0.250 0.250 0.250
Ba 0.750 0.750 0.750
Se 0.000 0.000 0.000
Bi 0.500 0.500 0.500

## Properties
The value obtained for the uncorrected formation energy is -1.27 eV/atom. Its space group is Fm-3m, No. 225. The total energy is -45.709 eV/atom. The calculation puts the energy above the most stable polymorph in this dataset at 0.0 meV/atom.


10.
Below is a crystal of BaNb2Bi2O9 relaxed with PBEsol, with properties calculated at the SCAN level.

a b c (Å): 5.643 5.651 12.826
angles (deg): 90.00 102.71 90.00
Sites, in units of the cell vectors:
O 0.423 0.293 0.852
O 0.921 0.799 0.830
O 0.908 0.299 0.830
O 0.768 0.733 0.505
O 0.572 0.293 0.148
O 0.577 0.793 0.148
O 0.472 0.558 0.321
O 0.528 0.058 0.679
O 0.151 0.558 0.679
O 0.092 0.799 0.170
O 0.079 0.299 0.170
O 0.232 0.233 0.495
O 0.263 0.733 0.495
O 0.428 0.793 0.852
O 0.770 0.046 0.000
O 0.849 0.058 0.321
O 0.737 0.233 0.505
O 0.230 0.546 0.000
Nb 0.166 0.526 0.827
Nb 0.834 0.026 0.173
Nb 0.339 0.526 0.173
Nb 0.661 0.026 0.827
Ba 0.752 0.535 0.000
Ba 0.248 0.035 0.000
Bi 0.515 0.444 0.598
Bi 0.917 0.444 0.402
Bi 0.083 0.944 0.598
Bi 0.485 0.944 0.402

## Properties
The value obtained for the uncorrected formation energy is -2.32 eV/atom. Its space group is Cmc2_1, No. 36. The total energy is -25.114 eV/atom.


11.
Below is a crystal of MgCdP2 relaxed with PBEsol, with properties calculated at the SCAN level.

a b c (Å): 4.657 4.657 4.657
angles (deg): 60.00 60.00 60.00
Sites, in units of the cell vectors:
Cd 0.000 0.000 0.000
P 0.250 0.250 0.250
P 0.750 0.750 0.750
Mg 0.500 0.500 0.500

## Properties
Its space group is Fm-3m, No. 225. The calculation puts the calculated formation energy at 216 meV per atom. The total energy is -13.831 eV/atom. The calculation puts the energy above the most stable polymorph in this dataset at 284.8 meV/atom.


12.
Below is a crystal of CsMg2Sb2 relaxed with PBEsol, with properties calculated at the SCAN level.

a b c (Å): 4.894 4.894 7.433
angles (deg): 109.22 109.22 90.00
Sites, in units of the cell vectors:
Mg 0.750 0.250 0.500
Mg 0.250 0.750 0.500
Sb 0.630 0.630 0.260
Sb 0.370 0.370 0.740
Cs 0.000 0.000 0.000

## Properties
The value obtained for the uncorrected formation energy is -0.51 eV/atom. Its space group is I4/mmm, No. 139. The total energy is -24.965 eV/atom.


13.
Below is a crystal of Co2BiS2 relaxed with PBEsol, with properties calculated at the SCAN level.

a b c (Å): 4.169 4.169 5.274
angles (deg): 113.28 113.28 90.00
Last column: magnetic moment on the atom in μB.
Sites, in units of the cell vectors:
S 0.750 0.250 0.500  -0.03
S 0.250 0.750 0.500  -0.03
Co 0.346 0.346 0.691  0.85
Co 0.654 0.654 0.309  0.85
Bi 0.000 0.000 0.000  -0.08

## Properties
The value obtained for the uncorrected formation energy is 0.26 eV/atom. Its space group is I4/mmm, No. 139. The total energy is -26.232 eV/atom.


14.
Below is a crystal of SbMo2P2 relaxed with PBEsol, with properties calculated at the SCAN level.

a b c (Å): 3.520 3.520 6.884
angles (deg): 104.81 104.81 90.00
Sites, in units of the cell vectors:
P 0.250 0.750 0.500
P 0.750 0.250 0.500
Mo 0.380 0.380 0.760
Mo 0.620 0.620 0.240
Sb 0.000 0.000 0.000

## Properties
The value obtained for the uncorrected formation energy is -0.09 eV/atom. Its space group is I4/mmm, No. 139. The total energy is -25.655 eV/atom.


15.
Below is a crystal of La5Ir2 relaxed with PBEsol, with properties calculated at the SCAN level.

a b c (Å): 6.624 7.303 9.009
angles (deg): 96.10 111.57 90.00
Sites, in units of the cell vectors:
La 0.199 0.918 0.184
La 0.212 0.181 0.566
La 0.984 0.418 0.184
La 0.801 0.082 0.816
La 0.354 0.681 0.566
La 0.577 0.750 0.000
La 0.016 0.582 0.816
La 0.423 0.250 0.000
La 0.646 0.319 0.434
La 0.788 0.819 0.434
Ir 0.410 0.581 0.223
Ir 0.590 0.419 0.777
Ir 0.813 0.081 0.223
Ir 0.187 0.919 0.777

## Properties
Its space group is C2/c, No. 15. The calculation puts the calculated formation energy at -686 meV per atom. The total energy is -51.790 eV/atom.


16.
Below is a crystal of SrCoIr2 relaxed with PBEsol, with properties calculated at the SCAN level.

a b c (Å): 4.282 4.282 5.802
angles (deg): 111.54 90.00 119.99
Last column: magnetic moment on the atom in μB.
Sites, in units of the cell vectors:
Sr 0.501 0.003 0.503  -0.02
Ir 0.002 0.003 0.005  0.27
Ir 0.314 0.628 0.942  0.29
Co 0.683 0.366 0.050  1.78

## Properties
Its space group is Cm, No. 8. The calculation puts the calculated formation energy at -255 meV per atom. The total energy is -45.700 eV/atom. The calculation puts the energy above the most stable polymorph in this dataset at 0.0 meV/atom.


17.
Below is a crystal of Na2CaHg2 relaxed with PBEsol, with properties calculated at the SCAN level.

a b c (Å): 4.326 8.021 8.021
angles (deg): 90.00 90.00 90.00
Sites, in units of the cell vectors:
Hg 0.000 0.869 0.631
Hg 0.000 0.369 0.869
Hg 0.000 0.131 0.369
Hg 0.000 0.631 0.131
Na 0.500 0.663 0.837
Na 0.500 0.837 0.337
Na 0.500 0.163 0.663
Na 0.500 0.337 0.163
Ca 0.000 0.000 0.000
Ca 0.000 0.500 0.500

## Properties
Its space group is P4/mbm, No. 127. The calculation puts the calculated formation energy at -341 meV per atom. The total energy is -31.226 eV/atom. The calculation puts the energy above the most stable polymorph in this dataset at 15.5 meV/atom.


18.
Below is a crystal of Li2Si2Ni2O7 relaxed with PBEsol, with properties calculated at the SCAN level.

a b c (Å): 4.781 4.781 12.892
angles (deg): 90.00 90.00 117.12
Last column: magnetic moment on the atom in μB.
Sites, in units of the cell vectors:
O 0.757 0.732 0.630  0.07
O 0.140 0.326 0.865  0.09
O 0.919 0.363 0.450  0.04
O 0.326 0.140 0.365  0.09
O 0.326 0.140 0.135  0.09
O 0.140 0.326 0.635  0.09
O 0.732 0.757 0.130  0.07
O 0.363 0.919 0.950  0.04
O 0.919 0.363 0.050  0.04
O 0.850 0.357 0.250  0.05
O 0.732 0.757 0.370  0.07
O 0.357 0.850 0.750  0.05
O 0.757 0.732 0.870  0.07
O 0.363 0.919 0.550  0.04
Ni 0.014 0.021 0.250  1.69
Ni 0.021 0.014 0.750  1.69
Ni 0.037 0.037 0.000  1.68
Ni 0.037 0.037 0.500  1.68
Li 0.339 0.744 0.415  0.00
Li 0.744 0.339 0.915  0.00
Li 0.339 0.744 0.085  0.00
Li 0.744 0.339 0.585  0.00
Si 0.399 0.696 0.636  0.00
Si 0.399 0.696 0.864  0.00
Si 0.696 0.399 0.136  0.00
Si 0.696 0.399 0.364  0.00

## Properties
The value obtained for the uncorrected formation energy is -2.29 eV/atom. Its space group is Ama2, No. 40. The total energy is -10.046 eV/atom.


19.
Below is a crystal of Sr2Li2Mg relaxed with PBEsol, with properties calculated at the SCAN level.

a b c (Å): 4.916 8.222 8.222
angles (deg): 90.00 90.00 90.00
Sites, in units of the cell vectors:
Sr 0.500 0.182 0.682
Sr 0.500 0.818 0.318
Sr 0.500 0.318 0.182
Sr 0.500 0.682 0.818
Li 0.000 0.877 0.623
Li 0.000 0.123 0.377
Li 0.000 0.377 0.877
Li 0.000 0.623 0.123
Mg 0.000 0.000 0.000
Mg 0.000 0.500 0.500

## Properties
Its space group is P4/mbm, No. 127. The calculation puts the calculated formation energy at 37 meV per atom. The total energy is -10.824 eV/atom. The calculation puts the energy above the most stable polymorph in this dataset at 0.0 meV/atom.


20.
Below is a crystal of KLi3Si relaxed with PBEsol, with properties calculated at the SCAN level.

a b c (Å): 4.992 4.992 4.992
angles (deg): 90.00 90.00 90.00
Sites, in units of the cell vectors:
Li 0.500 0.000 0.000
Li 0.000 0.500 0.000
Li 0.000 0.000 0.500
K 0.500 0.500 0.500
Si 0.000 0.000 0.000

## Properties
The value obtained for the uncorrected formation energy is -0.12 eV/atom. Its space group is Pm-3m, No. 221. The total energy is -5.225 eV/atom.


21.
Below is a crystal of BaCrP relaxed with PBEsol, with properties calculated at the SCAN level.

a b c (Å): 4.783 4.783 4.783
angles (deg): 60.00 60.00 60.00
Last column: magnetic moment on the atom in μB.
Sites, in units of the cell vectors:
Ba 0.500 0.500 0.500  0.27
Cr 0.250 0.250 0.250  4.23
P 0.000 0.000 0.000  -0.11

## Properties
Its space group is F-43m, No. 216. The calculation puts the calculated formation energy at -191 meV per atom. The total energy is -22.969 eV/atom.


22.
Below is a crystal of La2MgHg relaxed with PBEsol, with properties calculated at the SCAN level.

a b c (Å): 3.805 5.412 6.373
angles (deg): 115.13 107.37 90.00
Sites, in units of the cell vectors:
La 0.756 0.756 0.511
La 0.982 0.482 0.965
Mg 0.534 0.034 0.067
Hg 0.228 0.228 0.456

## Properties
Its space group is Imm2, No. 44. The calculation puts the calculated formation energy at -417 meV per atom. The total energy is -40.255 eV/atom. The calculation puts the energy above the most stable polymorph in this dataset at 8.8 meV/atom.


23.
Below is a crystal of DyIn5Rh relaxed with PBEsol, with properties calculated at the SCAN level.

a b c (Å): 4.577 4.577 7.352
angles (deg): 90.00 90.00 90.00
Sites, in units of the cell vectors:
Dy 0.000 0.000 0.000
In 0.500 0.000 0.700
In 0.000 0.500 0.700
In 0.500 0.000 0.300
In 0.500 0.500 0.000
In 0.000 0.500 0.300
Rh 0.000 0.000 0.500

## Properties
Its space group is P4/mmm, No. 123. The calculation puts the calculated formation energy at -529 meV per atom. The total energy is -36.029 eV/atom.


24.
Below is a crystal of ScBF2 relaxed with PBEsol, with properties calculated at the SCAN level.

a b c (Å): 3.630 3.630 7.599
angles (deg): 103.82 103.82 90.00
Last column: magnetic moment on the atom in μB.
Sites, in units of the cell vectors:
Sc 0.000 0.000 0.000  0.38
Sc 0.250 0.750 0.500  0.38
B 0.500 0.500 0.000  0.43
B 0.750 0.250 0.500  0.43
F 0.125 0.097 0.750  0.06
F 0.903 0.375 0.250  0.06
F 0.625 0.653 0.750  0.06
F 0.347 0.875 0.250  0.06

## Properties
The value obtained for the uncorrected formation energy is -1.46 eV/atom. Its space group is I-42d, No. 122. The total energy is -8.647 eV/atom. The calculation puts the energy above the most stable polymorph in this dataset at 0.0 meV/atom.


25.
Below is a crystal of Y2PCl relaxed with PBEsol, with properties calculated at the SCAN level.

a b c (Å): 3.905 3.905 5.504
angles (deg): 90.00 90.00 90.00
Sites, in units of the cell vectors:
P 0.500 0.500 0.500
Y 0.000 0.000 0.500
Y 0.500 0.500 0.000
Cl 0.000 0.000 0.000

## Properties
The value obtained for the uncorrected formation energy is -1.68 eV/atom. Its space group is P4/mmm, No. 123. The total energy is -20.197 eV/atom.